# 1
VASP calculation (PBEsol) on an optimized crystal structure of LiDyAu2.

```
data_LiDyAu2
_chemical_formula_sum 'Li4 Dy4 Au8'
_space_group_name_H-M_alt 'F m -3 m'
_space_group_IT_number 225
_space_group_name_Hall '-F 4 2 3'
_cell_length_a 6.744
_cell_length_b 6.744
_cell_length_c 6.744
_cell_angle_alpha 90.00
_cell_angle_beta 90.00
_cell_angle_gamma 90.00
loop_
_atom_site_label
_atom_site_type_symbol
_atom_site_fract_x
_atom_site_fract_y
_atom_site_fract_z
Li1 Li 0.000 0.000 0.000
Dy1 Dy 0.000 0.000 0.500
Au1 Au 0.250 0.250 0.250
```

Output
As for the total energy: -17.563 eV per formula unit.

# 2
VASP calculation (PBEsol) on an optimized crystal structure of SrZn2Au2.

```
data_SrZn2Au2
_chemical_formula_sum 'Sr2 Zn4 Au4'
_space_group_name_H-M_alt 'I 4/m m m'
_space_group_IT_number 139
_space_group_name_Hall '-I 4 2'
_cell_length_a 4.221
_cell_length_b 4.221
_cell_length_c 11.648
_cell_angle_alpha 90.00
_cell_angle_beta 90.00
_cell_angle_gamma 90.00
loop_
_atom_site_label
_atom_site_type_symbol
_atom_site_fract_x
_atom_site_fract_y
_atom_site_fract_z
Sr1 Sr 0.000 0.000 0.000
Zn1 Zn 0.000 0.500 0.250
Au1 Au 0.000 0.000 0.381
```

Output
As for the total energy: -15.313 eV per formula unit.

# 3
VASP calculation (PBEsol) on an optimized crystal structure of LaPN2F.

```
data_LaPN2F
_chemical_formula_sum 'La1 P1 N2 F1'
_space_group_name_H-M_alt 'P 4/m m m'
_space_group_IT_number 123
_space_group_name_Hall '-P 4 2'
_cell_length_a 3.737
_cell_length_b 3.737
_cell_length_c 4.079
_cell_angle_alpha 90.00
_cell_angle_beta 90.00
_cell_angle_gamma 90.00
loop_
_atom_site_label
_atom_site_type_symbol
_atom_site_fract_x
_atom_site_fract_y
_atom_site_fract_z
La1 La 0.000 0.000 0.000
P1 P 0.500 0.500 0.500
N1 N 0.000 0.500 0.500
F1 F 0.500 0.500 0.000
```

Output
Its uncorrected formation energy is -1.070 eV per atom. As for the total energy: -35.466 eV per formula unit.

# 4
VASP calculation (PBEsol) on an optimized crystal structure of AlSbMo3.

```
data_AlSbMo3
_chemical_formula_sum 'Al1 Sb1 Mo3'
_space_group_name_H-M_alt 'P m -3 m'
_space_group_IT_number 221
_space_group_name_Hall '-P 4 2 3'
_cell_length_a 4.814
_cell_length_b 4.814
_cell_length_c 4.814
_cell_angle_alpha 90.00
_cell_angle_beta 90.00
_cell_angle_gamma 90.00
loop_
_atom_site_label
_atom_site_type_symbol
_atom_site_fract_x
_atom_site_fract_y
_atom_site_fract_z
Al1 Al 0.000 0.000 0.000
Sb1 Sb 0.500 0.500 0.500
Mo1 Mo 0.000 0.500 0.500
```

Output
Its uncorrected formation energy is 1.994 eV per atom. As for the total energy: -33.982 eV per formula unit.

# 5
VASP calculation (PBEsol) on an optimized crystal structure of AlZn2CdO.

```
data_AlZn2CdO
_chemical_formula_sum 'Al1 Zn2 Cd1 O1'
_space_group_name_H-M_alt 'P 4/m m m'
_space_group_IT_number 123
_space_group_name_Hall '-P 4 2'
_cell_length_a 4.680
_cell_length_b 4.680
_cell_length_c 5.116
_cell_angle_alpha 90.00
_cell_angle_beta 90.00
_cell_angle_gamma 90.00
loop_
_atom_site_label
_atom_site_type_symbol
_atom_site_fract_x
_atom_site_fract_y
_atom_site_fract_z
Al1 Al 0.000 0.000 0.000
Zn1 Zn 0.000 0.500 0.000
Cd1 Cd 0.000 0.000 0.500
O1 O 0.500 0.500 0.500
```

Output
Its uncorrected formation energy is 0.791 eV per atom. As for the total energy: -9.745 eV per formula unit.

# 6
VASP calculation (PBEsol) on an optimized crystal structure of Nb5Se4.

```
data_Nb5Se4
_chemical_formula_sum 'Nb10 Se8'
_space_group_name_H-M_alt 'I 4/m'
_space_group_IT_number 87
_space_group_name_Hall '-I 4'
_cell_length_a 9.879
_cell_length_b 9.879
_cell_length_c 3.407
_cell_angle_alpha 90.00
_cell_angle_beta 90.00
_cell_angle_gamma 90.00
loop_
_atom_site_label
_atom_site_type_symbol
_atom_site_fract_x
_atom_site_fract_y
_atom_site_fract_z
Nb1 Nb 0.000 0.000 0.000
Nb2 Nb 0.126 0.197 0.500
Se1 Se 0.058 0.718 0.000
```

Output
Its uncorrected formation energy is -0.744 eV per atom. As for the total energy: -76.207 eV per formula unit.

# 7
VASP calculation (PBEsol) on an optimized crystal structure of HfSnIr.

```
data_HfSnIr
_chemical_formula_sum 'Hf3 Sn3 Ir3'
_space_group_name_H-M_alt 'P -6 2 m'
_space_group_IT_number 189
_space_group_name_Hall 'P -6 -2'
_cell_length_a 7.2645
_cell_length_b 7.2645
_cell_length_c 3.6502
_cell_angle_alpha 90.00
_cell_angle_beta 90.00
_cell_angle_gamma 120.00
loop_
_atom_site_label
_atom_site_type_symbol
_atom_site_fract_x
_atom_site_fract_y
_atom_site_fract_z
Hf1 Hf 0.0000 0.6055 0.0000
Sn1 Sn 0.0000 0.2679 0.5000
Ir1 Ir 0.0000 0.0000 0.0000
Ir2 Ir 0.3333 0.6667 0.5000
```

Output
As for the total energy: -26.755 eV per formula unit.

# 8
VASP calculation (PBEsol) on an optimized crystal structure of ReNi6Pt.

```
data_ReNi6Pt
_chemical_formula_sum 'Re8 Ni48 Pt8'
_space_group_name_H-M_alt 'C m m m'
_space_group_IT_number 65
_space_group_name_Hall '-C 2 2'
_cell_length_a 7.169
_cell_length_b 10.107
_cell_length_c 10.132
_cell_angle_alpha 90.00
_cell_angle_beta 90.00
_cell_angle_gamma 90.00
loop_
_atom_site_label
_atom_site_type_symbol
_atom_site_fract_x
_atom_site_fract_y
_atom_site_fract_z
Re1 Re 0.000 0.000 0.244
Re2 Re 0.000 0.248 0.500
Ni1 Ni 0.000 0.000 0.000
Ni2 Ni 0.000 0.000 0.500
Ni3 Ni 0.000 0.247 0.256
Ni4 Ni 0.000 0.500 0.000
Ni5 Ni 0.000 0.500 0.500
Ni6 Ni 0.244 0.124 0.128
Ni7 Ni 0.246 0.126 0.378
Pt1 Pt 0.000 0.253 0.000
Pt2 Pt 0.000 0.500 0.249
```

Output
As for the total energy: -57.288 eV per formula unit.

| no. | volume (Å³ per cell) |
| --- | --- |
| 1 | 306.8 |
| 2 | 207.6 |
| 3 | 57.0 |
| 4 | 111.6 |
| 5 | 112.0 |
| 6 | 332.5 |
| 7 | 166.8 |
| 8 | 734.1 |